No. 1
# Mg10Ge3H4O18

Mg10Ge3H4O18 after structural relaxation (PBEsol, the Alexandria database).

Properties
raw total energy: -6.25 eV per atom

Cell and atoms, written as CIF:
```
data_Mg10Ge3H4O18
_cell_length_a 5.176
_cell_length_b 8.890
_cell_length_c 14.197
_cell_angle_alpha 90.00
_cell_angle_beta 90.00
_cell_angle_gamma 90.00
_symmetry_space_group_name_H-M 'P 1'
_symmetry_Int_Tables_number 1
loop_
_symmetry_equiv_pos_as_xyz
'x,y,z'
loop_
_atom_site_label
_atom_site_fract_x
_atom_site_fract_y
_atom_site_fract_z
Mg1 0.500 0.175 0.000
Mg2 0.662 0.000 0.826
Mg3 0.162 0.500 0.674
Mg4 0.658 0.676 0.678
Mg5 0.000 0.325 0.500
Mg6 0.838 0.500 0.326
Mg7 0.000 0.661 0.000
Mg8 0.342 0.324 0.322
Mg9 0.842 0.176 0.178
Mg10 0.500 0.825 0.000
Mg11 0.000 0.339 0.000
Mg12 0.842 0.824 0.178
Mg13 0.000 0.675 0.500
Mg14 0.158 0.824 0.822
Mg15 0.338 0.000 0.174
Mg16 0.500 0.161 0.500
Mg17 0.658 0.324 0.678
Mg18 0.500 0.839 0.500
Mg19 0.158 0.176 0.822
Mg20 0.342 0.676 0.322
Ge1 0.500 0.500 0.500
Ge2 0.515 0.500 0.123
Ge3 0.000 0.000 0.000
Ge4 0.985 0.000 0.623
Ge5 0.015 0.000 0.377
Ge6 0.485 0.500 0.877
H1 0.575 0.102 0.311
H2 0.075 0.398 0.189
H3 0.075 0.602 0.189
H4 0.925 0.602 0.811
H5 0.425 0.898 0.689
H6 0.925 0.398 0.811
H7 0.425 0.102 0.689
H8 0.575 0.898 0.311
O1 0.317 0.000 0.918
O2 0.175 0.834 0.416
O3 0.315 0.000 0.586
O4 0.175 0.166 0.416
O5 0.481 0.158 0.746
O6 0.019 0.342 0.246
O7 0.992 0.000 0.748
O8 0.349 0.350 0.576
O9 0.519 0.158 0.254
O10 0.675 0.666 0.084
O11 0.325 0.666 0.916
O12 0.849 0.150 0.924
O13 0.685 0.000 0.414
O14 0.675 0.334 0.084
O15 0.519 0.842 0.254
O16 0.981 0.658 0.754
O17 0.683 0.000 0.082
O18 0.349 0.650 0.576
O19 0.651 0.650 0.424
O20 0.008 0.000 0.252
O21 0.508 0.500 0.248
O22 0.815 0.500 0.914
O23 0.151 0.850 0.076
O24 0.183 0.500 0.418
O25 0.185 0.500 0.086
O26 0.651 0.350 0.424
O27 0.825 0.166 0.584
O28 0.817 0.500 0.582
O29 0.981 0.342 0.754
O30 0.849 0.850 0.924
O31 0.825 0.834 0.584
O32 0.151 0.150 0.076
O33 0.019 0.658 0.246
O34 0.481 0.842 0.746
O35 0.492 0.500 0.752
O36 0.325 0.334 0.916
```



No. 2
# MgGe2TeH

MgGe2TeH after structural relaxation (PBEsol, the Alexandria database).

Properties
raw total energy: -3.50 eV per atom

Cell and atoms, written as CIF:
```
data_MgGe2TeH
_cell_length_a 5.534
_cell_length_b 4.072
_cell_length_c 4.072
_cell_angle_alpha 90.00
_cell_angle_beta 90.00
_cell_angle_gamma 90.00
_symmetry_space_group_name_H-M 'P 1'
_symmetry_Int_Tables_number 1
loop_
_symmetry_equiv_pos_as_xyz
'x,y,z'
loop_
_atom_site_label
_atom_site_fract_x
_atom_site_fract_y
_atom_site_fract_z
H1 0.000 0.000 0.000
Ge1 0.000 0.000 0.500
Ge2 0.000 0.500 0.000
Te1 0.500 0.000 0.000
Mg1 0.500 0.500 0.500
```



No. 3
# Mn3GeH

Mn3GeH after structural relaxation (PBEsol, the Alexandria database).

Properties
raw total energy: -7.64 eV per atom

Cell and atoms, written as CIF:
```
data_Mn3GeH
_cell_length_a 3.651
_cell_length_b 3.651
_cell_length_c 3.651
_cell_angle_alpha 90.00
_cell_angle_beta 90.00
_cell_angle_gamma 90.00
_symmetry_space_group_name_H-M 'P 1'
_symmetry_Int_Tables_number 1
loop_
_symmetry_equiv_pos_as_xyz
'x,y,z'
loop_
_atom_site_label
_atom_site_fract_x
_atom_site_fract_y
_atom_site_fract_z
H1 0.000 0.000 0.000
Ge1 0.500 0.500 0.500
Mn1 0.000 0.500 0.000
Mn2 0.000 0.000 0.500
Mn3 0.500 0.000 0.000
```



No. 4
# Mn2GeH2

Mn2GeH2 after structural relaxation (PBEsol, the Alexandria database).

Properties
raw total energy: -6.22 eV per atom

Cell and atoms, written as CIF:
```
data_Mn2GeH2
_cell_length_a 2.861
_cell_length_b 2.861
_cell_length_c 5.283
_cell_angle_alpha 105.71
_cell_angle_beta 105.71
_cell_angle_gamma 90.00
_symmetry_space_group_name_H-M 'P 1'
_symmetry_Int_Tables_number 1
loop_
_symmetry_equiv_pos_as_xyz
'x,y,z'
loop_
_atom_site_label
_atom_site_fract_x
_atom_site_fract_y
_atom_site_fract_z
H1 0.250 0.750 0.500
H2 0.750 0.250 0.500
Ge1 0.000 0.000 0.000
Mn1 0.353 0.353 0.706
Mn2 0.647 0.647 0.294
```



No. 5
# TiMn2GeH

TiMn2GeH after structural relaxation (PBEsol, the Alexandria database).

Properties
raw total energy: -7.53 eV per atom

Cell and atoms, written as CIF:
```
data_TiMn2GeH
_cell_length_a 3.756
_cell_length_b 3.756
_cell_length_c 3.724
_cell_angle_alpha 90.00
_cell_angle_beta 90.00
_cell_angle_gamma 90.00
_symmetry_space_group_name_H-M 'P 1'
_symmetry_Int_Tables_number 1
loop_
_symmetry_equiv_pos_as_xyz
'x,y,z'
loop_
_atom_site_label
_atom_site_fract_x
_atom_site_fract_y
_atom_site_fract_z
H1 0.000 0.000 0.000
Ge1 0.500 0.500 0.500
Mn1 0.000 0.500 0.000
Mn2 0.500 0.000 0.000
Ti1 0.000 0.000 0.500
```



No. 6
# GeMoH2Pt

GeMoH2Pt after structural relaxation (PBEsol, the Alexandria database).

Properties
raw total energy: -5.57 eV per atom

Cell and atoms, written as CIF:
```
data_GeMoH2Pt
_cell_length_a 3.579
_cell_length_b 3.579
_cell_length_c 5.100
_cell_angle_alpha 90.00
_cell_angle_beta 90.00
_cell_angle_gamma 90.00
_symmetry_space_group_name_H-M 'P 1'
_symmetry_Int_Tables_number 1
loop_
_symmetry_equiv_pos_as_xyz
'x,y,z'
loop_
_atom_site_label
_atom_site_fract_x
_atom_site_fract_y
_atom_site_fract_z
H1 0.000 0.500 0.000
H2 0.500 0.000 0.000
Mo1 0.000 0.000 0.000
Ge1 0.500 0.500 0.500
Pt1 0.000 0.000 0.500
```



| no. | magnetic moment (μB per cell) |
| --- | --- |
| 1 | 0.001 |
| 2 | 0.000 |
| 3 | 5.907 |
| 4 | 2.577 |
| 5 | 2.982 |
| 6 | 1.063 |